No. 1
# HfSi3Mo, optimized geometry, DFT PBE-GGA
# total magnetic moment = 0.07 μB/f.u.
# energy relative to the elements, uncorrected = 7.9 eV/f.u.
# final energy = -5.831 eV/atom
# energy above the most stable polymorph in this dataset = 445 kJ/mol of formula units
data_HfSi3Mo
_cell_length_a 4.809
_cell_length_b 4.809
_cell_length_c 4.809
_cell_angle_alpha 90.00
_cell_angle_beta 90.00
_cell_angle_gamma 90.00
_space_group_name_H-M_alt 'P m -3 m'
_space_group_IT_number 221
_space_group_name_Hall '-P 4 2 3'
loop_
_atom_site_label
_atom_site_type_symbol
_atom_site_fract_x
_atom_site_fract_y
_atom_site_fract_z
Hf1 Hf 0.000 0.000 0.000
Si1 Si 0.000 0.000 0.500
Mo1 Mo 0.500 0.500 0.500

No. 2
# La10S19, optimized geometry, DFT PBE-GGA
# total magnetic moment = 0.00 μB/f.u.
# energy relative to the elements, uncorrected = -55.9 eV/f.u.
# final energy = -6.332 eV/atom
data_La10S19
_cell_length_a 9.149
_cell_length_b 9.149
_cell_length_c 16.374
_cell_angle_alpha 90.00
_cell_angle_beta 90.00
_cell_angle_gamma 90.00
_space_group_name_H-M_alt 'P 42/n'
_space_group_IT_number 86
loop_
_space_group_symop_operation_xyz
'x,y,z'
'-x,-y,-z'
'-y,x+1/2,z+1/2'
'y,-x+1/2,-z+1/2'
'-x+1/2,-y+1/2,z'
'x+1/2,y+1/2,-z'
'y+1/2,-x,z+1/2'
'-y+1/2,x,-z+1/2'
loop_
_atom_site_label
_atom_site_type_symbol
_atom_site_fract_x
_atom_site_fract_y
_atom_site_fract_z
La1 La 0.041 0.348 0.122
La2 La 0.056 0.353 0.601
La3 La 0.250 0.750 0.113
S1 S 0.030 0.802 0.249
S2 S 0.049 0.349 0.424
S3 S 0.054 0.352 0.938
S4 S 0.081 0.891 0.750
S5 S 0.250 0.250 0.250
S6 S 0.250 0.750 0.433

No. 3
# ReS2NCl, optimized geometry, DFT PBE-GGA
# total magnetic moment = 0.01 μB/f.u.
# energy relative to the elements, uncorrected = 10.6 eV/f.u.
# final energy = -4.051 eV/atom
# energy above the most stable polymorph in this dataset = 806 kJ/mol of formula units
data_ReS2NCl
_cell_length_a 4.673
_cell_length_b 4.673
_cell_length_c 3.220
_cell_angle_alpha 90.00
_cell_angle_beta 90.00
_cell_angle_gamma 90.00
_space_group_name_H-M_alt 'P 4/m m m'
_space_group_IT_number 123
_space_group_name_Hall '-P 4 2'
loop_
_atom_site_label
_atom_site_type_symbol
_atom_site_fract_x
_atom_site_fract_y
_atom_site_fract_z
Re1 Re 0.000 0.000 0.000
S1 S 0.000 0.500 0.500
N1 N 0.500 0.500 0.000
Cl1 Cl 0.500 0.500 0.500

No. 4
# Lu3Pt5Au12, optimized geometry, DFT PBE-GGA
# total magnetic moment = 0.00 μB/f.u.
# final energy = -4.064 eV/atom
# E_form = 0.091 eV per atom
data_Lu3Pt5Au12
_cell_length_a 15.754
_cell_length_b 15.754
_cell_length_c 15.754
_cell_angle_alpha 90.00
_cell_angle_beta 90.00
_cell_angle_gamma 90.00
_space_group_name_H-M_alt 'I a -3 d'
_space_group_IT_number 230
_space_group_name_Hall '-I 4bd 2c 3'
loop_
_atom_site_label
_atom_site_type_symbol
_atom_site_fract_x
_atom_site_fract_y
_atom_site_fract_z
Lu1 Lu 0.000 0.250 0.125
Pt1 Pt 0.000 0.000 0.000
Pt2 Pt 0.000 0.250 0.375
Au1 Au 0.012 0.070 0.652